Record 1
Computed, not measured: a relaxed structure of FeTe2PtN at the PBE-GGA level of DFT.

Unit cell a=5.4890 b=5.4890 c=3.6402 alpha=90.00 beta=90.00 gamma=90.00
Fractional coordinates of all 5 atoms:
Te  0.0000  0.5000  0.0000
Te  0.5000  0.0000  0.0000
Fe  0.5000  0.5000  0.5000
Pt  0.0000  0.0000  0.0000
N  0.0000  0.0000  0.5000

Computed properties:
* spin magnetization: 0.02 μB/atom
* ΔE_f (raw): 1.06 eV per atom

Record 2
Computed, not measured: a relaxed structure of ZrOsBr2O at the PBE-GGA level of DFT.

Unit cell a=5.5354 b=3.9738 c=5.5354 alpha=90.00 beta=90.00 gamma=90.00
Last column: magnetic moment on the atom in μB.
Fractional coordinates of all 5 atoms:
O  0.0000  0.5000  0.0000  0.00
Os  0.5000  0.5000  0.5000  3.25
Br  0.0000  0.0000  0.5000  0.10
Br  0.5000  0.0000  0.0000  0.09
Zr  0.0000  0.0000  0.0000  0.04

Computed properties:
* spin magnetization: 0.84 μB/atom
* ΔE_f (raw): 0.02 eV per atom

Record 3
Computed, not measured: a relaxed structure of MnZnHg2 at the PBE-GGA level of DFT.

Unit cell a=3.4893 b=3.2093 c=7.5422 alpha=63.81 beta=90.00 gamma=90.00
Last column: magnetic moment on the atom in μB.
Fractional coordinates of all 4 atoms:
Hg  0.0000  0.0052  0.0018  -0.01
Hg  0.0000  0.4948  0.4982  -0.01
Mn  0.5000  0.2500  0.2500  3.87
Zn  0.5000  0.7500  0.7500  0.01

Computed properties:
* spin magnetization: 1.02 μB/atom
* formation energy: 1.01 eV/f.u.

Record 4
Computed, not measured: a relaxed structure of Sr3ZnIn2Ag6 at the PBE-GGA level of DFT.

Unit cell a=6.1858 b=6.1858 c=9.2582 alpha=90.00 beta=90.00 gamma=120.00
Fractional coordinates of all 12 atoms:
Sr  0.3333  0.6667  0.6106
Sr  0.6667  0.3333  0.3894
Sr  0.0000  0.0000  0.0000
Zn  0.0000  0.0000  0.5000
In  0.6667  0.3333  0.9824
In  0.3333  0.6667  0.0176
Ag  0.6521  0.8260  0.2874
Ag  0.1740  0.3479  0.2874
Ag  0.1740  0.8260  0.2874
Ag  0.8260  0.6521  0.7126
Ag  0.3479  0.1740  0.7126
Ag  0.8260  0.1740  0.7126

Computed properties:
* spin magnetization: 0.00 μB/atom
* formation energy: -2.11 eV/f.u.

Record 5
Computed, not measured: a relaxed structure of Mo2RuPt at the PBE-GGA level of DFT.

Unit cell a=4.4527 b=4.4527 c=4.4527 alpha=60.00 beta=60.00 gamma=60.00
Fractional coordinates of all 4 atoms:
Ru  0.0000  0.0000  0.0000
Mo  0.2500  0.2500  0.2500
Mo  0.7500  0.7500  0.7500
Pt  0.5000  0.5000  0.5000

Computed properties:
* spin magnetization: 0.00 μB/atom
* formation energy: 1.24 eV/f.u.

Record 6
Computed, not measured: a relaxed structure of Th2Co4P3Pt at the PBE-GGA level of DFT.

Unit cell a=3.8418 b=3.8418 c=10.3595 alpha=90.00 beta=90.00 gamma=90.00
Last column: magnetic moment on the atom in μB.
Fractional coordinates of all 10 atoms:
Th  0.5000  0.0000  0.2516  0.00
Th  0.0000  0.5000  0.7484  0.00
Co  0.5000  0.5000  0.0000  0.32
Co  0.0000  0.0000  0.0000  0.32
Co  0.5000  0.0000  0.6693  -0.02
Co  0.0000  0.5000  0.3307  -0.02
P  0.0000  0.0000  0.5000  0.00
P  0.5000  0.0000  0.8820  0.00
P  0.0000  0.5000  0.1180  0.00
Pt  0.5000  0.5000  0.5000  0.00

Computed properties:
* spin magnetization: 0.06 μB/atom
* formation energy: -8.57 eV/f.u.

Record 7
Computed, not measured: a relaxed structure of NpBC at the PBE-GGA level of DFT.

Unit cell a=2.8955 b=5.0197 c=5.0197 alpha=79.36 beta=73.24 gamma=73.24
Last column: magnetic moment on the atom in μB.
Fractional coordinates of all 6 atoms:
Np  0.7201  0.2799  0.2799  3.02
Np  0.2799  0.7201  0.7201  3.02
B  0.5000  0.8565  0.1435  -0.04
B  0.5000  0.1435  0.8565  -0.04
C  0.0000  0.2547  0.7453  -0.07
C  0.0000  0.7453  0.2547  -0.07

Computed properties:
* spin magnetization: 1.00 μB/atom
* formation energy: -0.65 eV/f.u.